No. 1
Density functional theory data (GGA-PBE) for a relaxed Li3SmGa3 crystal.

```
14
Lattice="6.658 0.000 0.000 0.000 6.658 0.000 0.000 0.000 6.658" Properties=species:S:1:pos:R:3 pbc="T T T"
Li 0.000 3.329 1.665
Ga 3.329 0.000 1.665
Ga 3.329 0.000 4.994
Ga 0.000 1.665 3.329
Ga 4.994 3.329 0.000
Li 1.665 0.000 3.329
Ga 0.000 4.994 3.329
Li 0.000 3.329 4.994
Sm 3.329 3.329 3.329
Sm 0.000 0.000 0.000
Li 3.329 1.665 0.000
Li 3.329 4.994 0.000
Li 4.994 0.000 3.329
Ga 1.665 3.329 0.000
```

Values from the calculation:
Uncorrected energy ... -2.669 eV/atom
Total magnetization ... 0.00 μB/cell
E_form ... 0.1231 eV/atom
Relative energy among the computed polymorphs ... 0.465 eV per atom

---

No. 2
Density functional theory data (GGA-PBE) for a relaxed RbHg2RhF8 crystal.

```
12
Lattice="-3.430 -4.221 -2.129 1.612 -2.937 -4.785 2.741 -7.151 1.748" Properties=species:S:1:pos:R:3 pbc="T T T"
F -0.328 -7.697 -4.343
F -1.154 -6.191 -1.891
F 1.191 -11.442 -3.271
F 1.430 -5.533 -3.252
Rh 0.461 -7.155 -2.583
Hg 0.222 -10.063 -4.443
F -0.508 -8.776 -1.914
Rb 0.000 0.000 0.000
F 1.250 -6.613 -0.823
F -0.268 -2.867 -1.896
Hg 0.701 -4.246 -0.723
F 2.076 -8.118 -3.275
```

Values from the calculation:
Formation energy from raw total energies ... -1.6725 eV per atom
Uncorrected energy ... -3.664 eV/atom
Total magnetization ... 0.09 μB/cell

---

No. 3
Density functional theory data (GGA-PBE) for a relaxed Ba2CaTc crystal.

```
4
Lattice="-3.441 -3.943 -2.567 -5.672 -0.221 1.324 -3.974 1.705 -3.909" Properties=species:S:1:pos:R:3 pbc="T T T"
Ca 0.000 0.000 0.000
Tc -6.543 -1.229 -2.576
Ba -9.815 -1.844 -3.864
Ba -3.272 -0.615 -1.288
```

Values from the calculation:
Uncorrected energy ... -3.272 eV/atom
Total magnetization ... 1.15 μB/cell
E_form ... 0.7810 eV/atom
Relative energy among the computed polymorphs ... 0.181 eV per atom

---

No. 4
Density functional theory data (GGA-PBE) for a relaxed CaPmP crystal.

```
3
Lattice="-2.660 -1.907 -1.553 2.050 -2.983 0.151 -2.139 1.064 6.583" Properties=species:S:1:pos:R:3 pbc="T T T"
Ca -0.189 -0.107 0.454
Pm -1.395 -0.789 3.358
P -1.165 -2.931 1.369
```

Values from the calculation:
Uncorrected energy ... -4.792 eV/atom
Total magnetization ... 0.00 μB/cell
E_form ... -0.7378 eV/atom
Relative energy among the computed polymorphs ... 0.162 eV per atom

---

No. 5
Density functional theory data (GGA-PBE) for a relaxed CeSm4Dy4 crystal.

```
9
Lattice="-4.525 0.910 2.094 -0.284 -3.661 7.109 0.526 6.684 4.367" Properties=species:S:1:pos:R:3 pbc="T T T"
Sm -1.084 5.780 7.415
Sm -1.342 2.511 2.143
Ce 0.000 0.000 0.000
Dy -0.014 -0.208 6.193
Sm -2.942 1.421 11.427
Dy -4.270 4.140 7.376
Sm -3.200 -1.847 6.155
Dy -2.934 1.615 5.226
Dy -1.350 2.317 8.344
```

Values from the calculation:
Uncorrected energy ... -4.760 eV/atom
Total magnetization ... 0.87 μB/cell
E_form ... 0.0422 eV/atom

---

No. 6
Density functional theory data (GGA-PBE) for a relaxed PuTh2Al crystal.

```
4
Lattice="-1.398 -2.938 -2.882 -0.384 -3.365 3.618 -4.676 1.418 0.822" Properties=species:S:1:pos:R:3 pbc="T T T"
Th -0.192 -1.682 1.809
Pu -0.699 -1.469 -1.441
Al -3.229 -2.442 0.779
Th -2.338 0.709 0.411
```

Values from the calculation:
Uncorrected energy ... -8.340 eV/atom
Total magnetization ... 6.18 μB/cell
E_form ... -0.1115 eV/atom
Relative energy among the computed polymorphs ... 0.000 eV per atom

---

No. 7
Density functional theory data (GGA-PBE) for a relaxed K2LaOsO6 crystal.

```
20
Lattice="6.068 0.000 0.000 0.000 6.068 0.000 0.000 0.000 8.581" Properties=species:S:1:pos:R:3 pbc="T T T"
K 0.000 1.515 2.145
O 0.000 4.553 1.904
O 1.346 3.206 0.000
O 1.688 0.169 4.290
K 3.034 4.553 6.436
O 3.034 1.515 2.386
O 1.346 5.899 0.000
K 0.000 1.515 6.436
O 0.000 4.553 6.677
O 4.380 0.169 4.290
O 4.721 5.899 0.000
La 3.034 1.519 0.000
O 1.687 2.861 4.290
La 0.000 4.549 4.290
Os 0.000 4.553 0.000
O 3.034 1.515 6.195
Os 3.034 1.515 4.290
O 4.721 3.206 0.000
K 3.034 4.553 2.145
O 4.380 2.861 4.290
```

Values from the calculation:
Formation energy from raw total energies ... -1.8986 eV per atom
Uncorrected energy ... -6.709 eV/atom
Total magnetization ... 0.01 μB/cell

---

No. 8
Density functional theory data (GGA-PBE) for a relaxed NaSiNi3 crystal.

```
5
Lattice="4.312 0.000 0.000 0.000 4.312 0.000 0.000 0.000 4.312" Properties=species:S:1:pos:R:3 pbc="T T T"
Ni 0.000 0.000 2.156
Si 0.000 0.000 0.000
Ni 2.156 0.000 0.000
Na 2.156 2.156 2.156
Ni 0.000 2.156 0.000
```

Values from the calculation:
Formation energy from raw total energies ... 0.2479 eV per atom
Uncorrected energy ... -4.569 eV/atom
Total magnetization ... 0.00 μB/cell
Relative energy among the computed polymorphs ... 0.000 eV per atom